(1)
! Ba2NaGaAs (PBE, optimized geometry); values from VASP
&SYSTEM
  ibrav = 0, nat = 5, ntyp = 4
/
ATOMIC_SPECIES
Ba 137.33 Ba.upf
Na 22.99 Na.upf
Ga 69.72 Ga.upf
As 74.92 As.upf
CELL_PARAMETERS angstrom
6.335 0.000 0.000
0.000 6.335 0.000
0.000 0.000 4.898
ATOMIC_POSITIONS angstrom
Ba 0.000 3.167 0.000
Ba 3.167 0.000 0.000
Na 0.000 0.000 0.000
Ga 3.167 3.167 2.449
As 0.000 0.000 2.449
! E_tot = -2.4692 eV per atom
! ΔH_f (0 K) = 0.0990 eV per atom

---

(2)
! BaNaGaAs2 (PBE, optimized geometry); values from VASP
&SYSTEM
  ibrav = 0, nat = 10, ntyp = 4
/
ATOMIC_SPECIES
Ba 137.33 Ba.upf
Na 22.99 Na.upf
Ga 69.72 Ga.upf
As 74.92 As.upf
CELL_PARAMETERS angstrom
3.256 -7.053 0.000
3.256 7.053 0.000
0.000 0.000 6.209
ATOMIC_POSITIONS angstrom
Ba 3.256 3.527 4.715
Ba 3.256 -3.527 1.494
Na 1.628 0.000 3.104
Na 4.885 0.000 3.104
Ga 0.000 0.000 0.000
Ga 3.256 0.000 0.000
As 3.256 5.202 1.443
As 3.256 1.851 1.443
As 3.256 -1.851 4.766
As 3.256 -5.202 4.766
! E_tot = -3.6694 eV per atom
! ΔH_f (0 K) = -0.5559 eV per atom

---

(3)
! Ba2GaAsO (PBE, optimized geometry); values from VASP
&SYSTEM
  ibrav = 0, nat = 10, ntyp = 4
/
ATOMIC_SPECIES
Ba 137.33 Ba.upf
Ga 69.72 Ga.upf
As 74.92 As.upf
O 16.00 O.upf
CELL_PARAMETERS angstrom
6.763 0.000 0.000
0.000 4.471 0.000
-2.892 0.000 9.537
ATOMIC_POSITIONS angstrom
Ba 0.005 1.118 3.820
Ba 1.759 3.353 0.682
Ba 2.112 1.118 8.855
Ba 3.866 3.353 5.717
Ga 0.394 3.353 6.481
Ga 3.477 1.118 3.055
As -1.015 1.118 7.478
As 4.886 3.353 2.059
O 1.836 1.118 2.036
O 2.035 3.353 7.500
! E_tot = -4.7356 eV per atom
! ΔE_f (raw) = -7.2 eV per formula unit

---

(4)
! BaGaAs2O (PBE, optimized geometry); values from VASP
&SYSTEM
  ibrav = 0, nat = 5, ntyp = 4
/
ATOMIC_SPECIES
Ba 137.33 Ba.upf
Ga 69.72 Ga.upf
As 74.92 As.upf
O 16.00 O.upf
CELL_PARAMETERS angstrom
6.230 0.000 0.000
0.000 6.230 0.000
0.000 0.000 4.593
ATOMIC_POSITIONS angstrom
Ba 0.000 0.000 0.000
Ga 3.115 3.115 2.297
As 0.000 3.115 0.000
As 3.115 0.000 0.000
O 0.000 0.000 2.297
! E_tot = -3.3230 eV per atom
! ΔE_f (raw) = 2.6 eV per formula unit

---

(5)
! BaGaAs2O8 (PBE, optimized geometry); values from VASP
&SYSTEM
  ibrav = 0, nat = 12, ntyp = 4
/
ATOMIC_SPECIES
Ba 137.33 Ba.upf
Ga 69.72 Ga.upf
As 74.92 As.upf
O 16.00 O.upf
CELL_PARAMETERS angstrom
2.505 1.446 8.108
-2.505 1.446 8.108
0.000 -2.893 8.108
ATOMIC_POSITIONS angstrom
Ba 0.000 0.000 0.000
Ga 0.000 0.000 12.162
As 0.000 0.000 5.800
As 0.000 0.000 18.524
O -0.850 -1.301 10.883
O -0.701 -1.387 13.441
O 0.000 0.000 7.511
O -0.701 1.387 10.883
O -0.851 1.301 13.441
O 0.000 0.000 16.813
O 1.552 -0.086 10.883
O 1.552 0.086 13.441
! E_tot = -6.0052 eV per atom
! ΔE_f (raw) = -18.1 eV per formula unit

---

(6)
! BaGaAsO6 (PBE, optimized geometry); values from VASP
&SYSTEM
  ibrav = 0, nat = 9, ntyp = 4
/
ATOMIC_SPECIES
Ba 137.33 Ba.upf
Ga 69.72 Ga.upf
As 74.92 As.upf
O 16.00 O.upf
CELL_PARAMETERS angstrom
5.154 0.000 0.000
-2.577 4.464 0.000
0.000 0.000 5.794
ATOMIC_POSITIONS angstrom
Ba 0.000 0.000 0.000
Ga 2.577 1.488 2.897
As 0.000 2.976 2.897
O -0.921 1.789 3.976
O -1.488 2.771 1.818
O 0.921 1.789 1.818
O -0.567 4.367 3.976
O 1.488 2.771 3.976
O 0.567 4.367 1.818
! E_tot = -5.8741 eV per atom
! ΔE_f (raw) = -13.5 eV per formula unit

---

(7)
! Ba2GaAsP (PBE, optimized geometry); values from VASP
&SYSTEM
  ibrav = 0, nat = 10, ntyp = 4
/
ATOMIC_SPECIES
Ba 137.33 Ba.upf
Ga 69.72 Ga.upf
As 74.92 As.upf
P 30.97 P.upf
CELL_PARAMETERS angstrom
8.022 0.000 0.000
0.000 4.615 0.000
-0.001 0.000 8.590
ATOMIC_POSITIONS angstrom
Ba 1.887 1.154 0.101
Ba 1.888 1.154 4.196
Ba 6.133 3.461 4.394
Ba 6.135 3.461 8.490
Ga 3.358 3.461 6.446
Ga 4.663 1.154 2.145
As 0.897 3.461 6.442
As 7.124 1.154 2.148
P 3.648 3.461 2.146
P 4.373 1.154 6.445
! E_tot = -4.2301 eV per atom
! ΔH_f (0 K) = -0.8438 eV per atom

---

(8)
! BaGaAsPb2 (PBE, optimized geometry); values from VASP
&SYSTEM
  ibrav = 0, nat = 5, ntyp = 4
/
ATOMIC_SPECIES
Ba 137.33 Ba.upf
Ga 69.72 Ga.upf
As 74.92 As.upf
Pb 207.20 Pb.upf
CELL_PARAMETERS angstrom
6.252 0.000 0.000
0.000 6.252 0.000
0.000 0.000 5.855
ATOMIC_POSITIONS angstrom
Ba 0.000 0.000 0.000
Ga 0.000 0.000 2.928
As 3.126 3.126 2.928
Pb 0.000 3.126 0.000
Pb 3.126 0.000 0.000
! E_tot = -2.2526 eV per atom
! ΔH_f (0 K) = 1.1506 eV per atom